No. 1
A relaxed Pm2NdPaP4 crystal. Source: Alexandria via LeMat-Bulk, functional PBE.

Summary:
The value obtained for the energy of formation from the pure elements is -1.502 eV per atom. The calculation puts the total energy at -7.178 eV per atom.

Lattice parameters (Å, degrees): 5.777 5.777 11.576 90.00 90.00 90.00
Space group I-4m2 (No. 119)
One atom of each set of equivalent atoms:
Pm1 0.000 0.000 0.000 [2 per cell]
Pm2 0.000 0.500 0.250 [2 per cell]
Nd1 0.000 0.500 0.750 [2 per cell]
Pa1 0.000 0.000 0.500 [2 per cell]
P1 0.000 0.000 0.261 [4 per cell]
P2 0.000 0.500 0.001 [4 per cell]

---

No. 2
A relaxed PmNd3Pa2P6 crystal. Source: Alexandria via LeMat-Bulk, functional PBE.

Summary:
The value obtained for the energy of formation from the pure elements is -1.482 eV per atom. The calculation puts the total energy at -7.358 eV per atom.

Lattice parameters (Å, degrees): 7.071 12.248 7.086 90.00 109.41 90.00
Space group C2/m (No. 12)
One atom of each set of equivalent atoms:
Pm1 0.000 0.000 0.000 [2 per cell]
Nd1 0.000 0.164 0.500 [4 per cell]
Nd2 0.000 0.500 0.500 [2 per cell]
Pa1 0.000 0.333 0.000 [4 per cell]
P1 0.235 0.500 0.236 [4 per cell]
P2 0.249 0.328 0.764 [8 per cell]

---

No. 3
A relaxed Pr3NdPa2P6 crystal. Source: Alexandria via LeMat-Bulk, functional PBE.

Summary:
The value obtained for the energy of formation from the pure elements is -1.466 eV per atom. The calculation puts the total energy at -7.346 eV per atom.

Lattice parameters (Å, degrees): 7.110 12.314 7.131 90.00 109.39 90.00
Space group C2/m (No. 12)
One atom of each set of equivalent atoms:
Pr1 0.000 0.000 0.000 [2 per cell]
Pr2 0.000 0.336 0.000 [4 per cell]
Nd1 0.000 0.500 0.500 [2 per cell]
Pa1 0.000 0.167 0.500 [4 per cell]
P1 0.233 0.000 0.734 [4 per cell]
P2 0.249 0.172 0.266 [8 per cell]

---

No. 4
A relaxed Nd3Pu2PaP6 crystal. Source: Alexandria via LeMat-Bulk, functional PBE.

Summary:
The value obtained for the energy of formation from the pure elements is -1.385 eV per atom. The calculation puts the total energy at -8.462 eV per atom.

Lattice parameters (Å, degrees): 7.055 12.221 7.063 90.00 109.45 90.00
Space group C2/m (No. 12)
One atom of each set of equivalent atoms:
Nd1 0.000 0.000 0.000 [2 per cell]
Nd2 0.000 0.332 0.000 [4 per cell]
Pu1 0.000 0.166 0.500 [4 per cell]
Pa1 0.000 0.500 0.500 [2 per cell]
P1 0.243 0.335 0.734 [8 per cell]
P2 0.249 0.000 0.734 [4 per cell]

---

No. 5
A relaxed Nd3PuPa2P6 crystal. Source: Alexandria via LeMat-Bulk, functional PBE.

Summary:
The value obtained for the energy of formation from the pure elements is -1.412 eV per atom. The calculation puts the total energy at -8.086 eV per atom.

Lattice parameters (Å, degrees): 7.039 12.189 7.066 90.00 109.40 90.00
Space group C2/m (No. 12)
One atom of each set of equivalent atoms:
Nd1 0.000 0.000 0.000 [2 per cell]
Nd2 0.000 0.334 0.000 [4 per cell]
Pu1 0.000 0.500 0.500 [2 per cell]
Pa1 0.000 0.167 0.500 [4 per cell]
P1 0.241 0.000 0.734 [4 per cell]
P2 0.247 0.331 0.734 [8 per cell]

---

No. 6
A relaxed Nd2PaP3Rh12 crystal. Source: Alexandria via LeMat-Bulk, functional PBE.

Summary:
The value obtained for the energy of formation from the pure elements is -0.393 eV per atom. The calculation puts the total energy at -7.253 eV per atom.

Lattice parameters (Å, degrees): 8.3768 8.3768 16.2361 90.00 90.00 120.00
Space group R-3m (No. 166, hexagonal axes)
One atom of each set of equivalent atoms:
Nd1 0.0000 0.0000 0.1003 [6 per cell]
Pa1 0.0000 0.0000 0.5000 [3 per cell]
P1 0.0000 0.5000 0.0000 [9 per cell]
Rh1 0.0171 0.5085 0.8622 [18 per cell]
Rh2 0.0521 0.5261 0.3570 [18 per cell]

---

No. 7
A relaxed Nd2PaP3Rh4 crystal. Source: Alexandria via LeMat-Bulk, functional PBE.

Summary:
The value obtained for the energy of formation from the pure elements is -1.026 eV per atom. The calculation puts the total energy at -7.493 eV per atom.

Lattice parameters (Å, degrees): 4.086 4.086 11.043 90.00 90.00 90.00
Space group P-4m2 (No. 115)
One atom of each set of equivalent atoms:
Nd1 0.000 0.500 0.219 [2 per cell]
Pa1 0.000 0.000 0.500 [1 per cell]
P1 0.000 0.500 0.874 [2 per cell]
P2 0.500 0.500 0.500 [1 per cell]
Rh1 0.000 0.000 0.000 [1 per cell]
Rh2 0.000 0.500 0.658 [2 per cell]
Rh3 0.500 0.500 0.000 [1 per cell]

---

No. 8
A relaxed NdPaPS crystal. Source: Alexandria via LeMat-Bulk, functional PBE.

Summary:
The formation energy (no corrections) comes out at -145.2 kJ per mole of atoms. The calculation puts the total energy at -7.455 eV per atom.

Lattice parameters (Å, degrees): 3.9160 3.9160 21.2987 90.00 90.00 120.00
Space group R3m (No. 160, hexagonal axes)
One atom of each set of equivalent atoms:
Nd1 0.0000 0.0000 0.0000 [3 per cell]
Pa1 0.0000 0.0000 0.1782 [3 per cell]
P1 0.0000 0.0000 0.5858 [3 per cell]
S1 0.0000 0.0000 0.7613 [3 per cell]

---

No. 9
A relaxed Nd3Sc2PaP6 crystal. Source: Alexandria via LeMat-Bulk, functional PBE.

Summary:
The value obtained for the energy of formation from the pure elements is -1.477 eV per atom. The calculation puts the total energy at -7.220 eV per atom.

Lattice parameters (Å, degrees): 6.906 11.965 6.966 90.00 109.28 90.00
Space group C2/m (No. 12)
One atom of each set of equivalent atoms:
Nd1 0.000 0.000 0.000 [2 per cell]
Nd2 0.000 0.333 0.000 [4 per cell]
Sc1 0.000 0.167 0.500 [4 per cell]
Pa1 0.000 0.500 0.500 [2 per cell]
P1 0.239 0.000 0.726 [4 per cell]
P2 0.244 0.332 0.728 [8 per cell]

---

No. 10
A relaxed Nd3ScPa2P6 crystal. Source: Alexandria via LeMat-Bulk, functional PBE.

Summary:
The value obtained for the energy of formation from the pure elements is -1.451 eV per atom. The calculation puts the total energy at -7.459 eV per atom.

Lattice parameters (Å, degrees): 6.958 12.054 7.027 90.00 109.30 90.00
Space group C2/m (No. 12)
One atom of each set of equivalent atoms:
Nd1 0.000 0.000 0.000 [2 per cell]
Nd2 0.000 0.333 0.000 [4 per cell]
Sc1 0.000 0.500 0.500 [2 per cell]
Pa1 0.000 0.166 0.500 [4 per cell]
P1 0.241 0.335 0.729 [8 per cell]
P2 0.247 0.000 0.731 [4 per cell]

---

No. 11
A relaxed NdSc2PaP4 crystal. Source: Alexandria via LeMat-Bulk, functional PBE.

Summary:
The value obtained for the energy of formation from the pure elements is -1.438 eV per atom. The calculation puts the total energy at -7.509 eV per atom.

Lattice parameters (Å, degrees): 6.703 3.932 6.826 90.00 109.68 90.00
Space group P2/m (No. 10)
One atom of each set of equivalent atoms:
Nd1 0.000 0.000 0.000 [1 per cell]
Sc1 0.500 0.000 0.500 [1 per cell]
Sc2 0.500 0.500 0.000 [1 per cell]
Pa1 0.000 0.500 0.500 [1 per cell]
P1 0.266 0.000 0.748 [2 per cell]
P2 0.269 0.500 0.266 [2 per cell]

---

No. 12
A relaxed Nd2PaP2Se2 crystal. Source: Alexandria via LeMat-Bulk, functional PBE.

Summary:
The formation energy (no corrections) comes out at -119.1 kJ per mole of atoms. The calculation puts the total energy at -6.494 eV per atom.

Lattice parameters (Å, degrees): 5.228 5.228 14.759 90.00 90.00 90.00
Space group I4/mmm (No. 139)
One atom of each set of equivalent atoms:
Nd1 0.000 0.000 0.118 [4 per cell]
Pa1 0.000 0.000 0.500 [2 per cell]
P1 0.000 0.500 0.000 [4 per cell]
Se1 0.000 0.000 0.312 [4 per cell]